Record 1
This record from Alexandria describes an optimized crystal structure of Nb2Tc3Sn. The functional is GGA-PBE.

Cell lengths 3.226, 3.226, 9.575 Å; angles 90.00, 90.00, 90.00 degrees
Positions (direct):
Nb 0.000 0.000 0.168
Nb 0.000 0.000 0.832
Tc 0.500 0.500 0.000
Tc 0.500 0.500 0.325
Tc 0.500 0.500 0.675
Sn 0.000 0.000 0.500

Energy of formation from the pure elements: -208 meV per atom
Symmetry: P4/mmm
Density of states at the Fermi level: 0.833 states/eV/atom

---

Record 2
This record from Alexandria describes an optimized crystal structure of NpAs4Pd6. The functional is GGA-PBE.

Cell lengths 7.435, 7.435, 3.977 Å; angles 90.00, 90.00, 120.00 degrees
Positions (direct):
Np 0.000 0.000 0.000
As 0.333 0.667 0.000
As 0.369 0.184 0.500
As 0.816 0.184 0.500
As 0.816 0.631 0.500
Pd 0.200 0.400 0.500
Pd 0.200 0.800 0.500
Pd 0.537 0.073 0.000
Pd 0.537 0.463 0.000
Pd 0.600 0.800 0.500
Pd 0.927 0.463 0.000

Energy of formation from the pure elements: -416 meV per atom
Symmetry: P-6m2
Density of states at the Fermi level: 1.076 states/eV/atom

---

Record 3
This record from Alexandria describes an optimized crystal structure of H2OsAu. The functional is GGA-PBE.

Cell lengths 4.693, 4.693, 4.693 Å; angles 111.02, 111.02, 106.41 degrees
Positions (direct):
H 0.043 0.625 0.918
H 0.375 0.293 0.418
H 0.707 0.125 0.082
H 0.875 0.957 0.582
Os 0.000 0.000 0.000
Os 0.750 0.250 0.500
Au 0.250 0.750 0.500
Au 0.500 0.500 0.000

Symmetry: I-42d
Density of states at the Fermi level: 0.589 states/eV/atom
Excess energy over the best structure of this formula in the dataset: 0.0000 eV/atom

---

Record 4
This record from Alexandria describes an optimized crystal structure of Dy5Y2In. The functional is GGA-PBE.

Cell lengths 10.640, 10.640, 10.640 Å; angles 153.34, 153.34, 38.06 degrees
Positions (direct):
Dy 0.000 0.000 0.000
Dy 0.121 0.621 0.500
Dy 0.379 0.879 0.500
Dy 0.621 0.121 0.500
Dy 0.879 0.379 0.500
Y 0.246 0.246 0.000
Y 0.754 0.754 0.000
In 0.500 0.500 0.000

Energy of formation from the pure elements: -111 meV per atom
Symmetry: I4/mmm
Density of states at the Fermi level: 1.329 states/eV/atom
Excess energy over the best structure of this formula in the dataset: 0.0000 eV/atom

---

Record 5
This record from Alexandria describes an optimized crystal structure of PmYBr3. The functional is GGA-PBE.

Cell lengths 9.227, 9.227, 11.468 Å; angles 122.28, 122.28, 24.78 degrees
Positions (direct):
Pm 0.138 0.138 0.286
Pm 0.862 0.862 0.714
Y 0.426 0.426 0.043
Y 0.574 0.574 0.957
Br 0.038 0.038 0.747
Br 0.215 0.215 0.117
Br 0.337 0.337 0.492
Br 0.663 0.663 0.508
Br 0.785 0.785 0.883
Br 0.962 0.962 0.253

Symmetry: C2/m
Energy relative to the elements, uncorrected: -7.63 eV per formula unit

---

Record 6
This record from Alexandria describes an optimized crystal structure of YRh2Se. The functional is GGA-PBE.

Cell lengths 4.058, 4.164, 4.174 Å; angles 90.00, 90.00, 90.00 degrees
Positions (direct):
Y 0.000 0.000 0.000
Rh 0.500 0.000 0.500
Rh 0.500 0.500 0.000
Se 0.000 0.500 0.500

Symmetry: Pmmm
Energy relative to the elements, uncorrected: -2.30 eV per formula unit
Density of states at the Fermi level: 0.715 states/eV/atom